Record 1
## SrCaIr2 (PBE-GGA)

Data for a geometry-optimized SrCaIr2 structure.

For the density of states at the Fermi level, the calculation gives 1.088 states/eV per atom. Its energy of formation is 0.26 eV/atom. For the electronic total energy, the calculation gives -5.092 eV/atom.

a = 4.903 Å, b = 4.903 Å, c = 4.903 Å
α = 60.00°, β = 60.00°, γ = 60.00°
Last column: magnetic moment on the atom in μB.
Fractional coordinates of all 4 atoms:
Sr1 0.750 0.750 0.750  -0.01
Ir1 0.000 0.000 0.000  0.65
Ir2 0.250 0.250 0.250  0.60
Ca1 0.500 0.500 0.500  -0.02



Record 2
## Sr3CaIr (PBE-GGA)

Data for a geometry-optimized Sr3CaIr structure.

For the density of states at the Fermi level, the calculation gives 0.602 states/eV per atom. Its energy of formation is -0.16 eV/atom. For the electronic total energy, the calculation gives -3.342 eV/atom.

a = 8.998 Å, b = 8.231 Å, c = 13.758 Å
α = 97.24°, β = 90.00°, γ = 123.14°
Fractional coordinates of all 20 atoms:
Sr1 0.882 0.276 0.112
Sr2 0.118 0.724 0.888
Sr3 0.623 0.777 0.862
Sr4 0.846 0.223 0.638
Sr5 0.607 0.724 0.388
Sr6 0.924 0.760 0.626
Sr7 0.836 0.760 0.126
Sr8 0.154 0.777 0.362
Sr9 0.076 0.240 0.374
Sr10 0.377 0.223 0.138
Sr11 0.164 0.240 0.874
Sr12 0.393 0.276 0.612
Ir1 0.500 0.500 0.000
Ir2 0.272 0.000 0.750
Ir3 0.000 0.500 0.500
Ir4 0.728 0.000 0.250
Ca1 0.321 0.738 0.624
Ca2 0.679 0.262 0.376
Ca3 0.583 0.262 0.876
Ca4 0.417 0.738 0.124



Record 3
## SrCa2Ir (PBE-GGA)

Data for a geometry-optimized SrCa2Ir structure.

For the density of states at the Fermi level, the calculation gives 0.677 states/eV per atom. Its energy of formation is -0.04 eV/atom. For the electronic total energy, the calculation gives -3.678 eV/atom.

a = 9.590 Å, b = 9.590 Å, c = 7.453 Å
α = 49.96°, β = 49.96°, γ = 90.00°
Fractional coordinates of all 8 atoms:
Sr1 0.500 0.500 0.000
Sr2 0.250 0.750 0.500
Ir1 0.000 0.000 0.000
Ir2 0.750 0.250 0.500
Ca1 0.875 0.993 0.750
Ca2 0.375 0.257 0.750
Ca3 0.743 0.125 0.250
Ca4 0.007 0.625 0.250



Record 4
## SrCa2Ir (PBE-GGA)

Data for a geometry-optimized SrCa2Ir structure.

For the density of states at the Fermi level, the calculation gives 0.456 states/eV per atom. Its energy of formation is -0.27 eV/atom. For the electronic total energy, the calculation gives -3.902 eV/atom.

a = 6.434 Å, b = 8.116 Å, c = 9.382 Å
α = 90.00°, β = 90.00°, γ = 90.00°
Fractional coordinates of all 16 atoms:
Ca1 0.355 0.165 0.435
Ca2 0.145 0.665 0.435
Ca3 0.855 0.335 0.935
Ca4 0.855 0.335 0.565
Ca5 0.645 0.835 0.565
Ca6 0.355 0.165 0.065
Ca7 0.145 0.665 0.065
Ca8 0.645 0.835 0.935
Sr1 0.382 0.465 0.750
Sr2 0.118 0.965 0.750
Sr3 0.882 0.035 0.250
Sr4 0.618 0.535 0.250
Ir1 0.428 0.878 0.250
Ir2 0.572 0.122 0.750
Ir3 0.072 0.378 0.250
Ir4 0.928 0.622 0.750



Number 1: distance to the lowest polymorph of the same formula 549 meV/atom. Number 2: distance to the lowest polymorph of the same formula 0 meV/atom. Number 3: distance to the lowest polymorph of the same formula 228 meV/atom. Number 4: distance to the lowest polymorph of the same formula 5 meV/atom.